# 1
# Cd2FeRh

Cd2FeRh after structural relaxation (PBE, Alexandria).

Lattice parameters (Å, degrees): 3.047 3.047 7.152 90.00 90.00 90.00
Sites, in units of the cell vectors:
Cd1 0.000 0.000 0.249
Cd2 0.000 0.000 0.751
Fe1 0.500 0.500 0.500
Rh1 0.500 0.500 0.000

Values from the calculation:
spin magnetization	2.7	μB per formula unit
density	9.593	g/cm³
formation energy	0.18	eV/atom
DOS at the Fermi energy	4.2	states/eV/cell

=====

# 2
# CdFe2Rh

CdFe2Rh after structural relaxation (PBE, Alexandria).

Lattice parameters (Å, degrees): 3.007 3.007 6.480 90.00 90.00 90.00
Sites, in units of the cell vectors:
Cd1 0.000 0.000 0.000
Fe1 0.000 0.000 0.484
Fe2 0.500 0.500 0.284
Rh1 0.500 0.500 0.707

Values from the calculation:
spin magnetization	6.1	μB per formula unit
density	9.269	g/cm³
formation energy	0.06	eV/atom
DOS at the Fermi energy	4.1	states/eV/cell